Computed, not measured: a geometry-optimized PaNi7Sn2As2 structure at the PBE level of DFT.

Cell: 3.803 3.803 13.755 Å, 93.63 93.63 90.50°
Fractional coordinates of all 12 atoms:
Pa 0.000 0.000 0.000
Ni 0.035 0.533 0.140
Ni 0.386 0.386 0.584
Ni 0.467 0.965 0.860
Ni 0.500 0.500 0.000
Ni 0.533 0.035 0.140
Ni 0.614 0.614 0.416
Ni 0.965 0.467 0.860
Sn 0.129 0.129 0.406
Sn 0.871 0.871 0.594
As 0.440 0.440 0.755
As 0.560 0.560 0.245

Results
Energy of formation from the pure elements: -0.186 eV/atom